A relaxed structure of Th2Ge5Os3, computed with PBE.

Structure (POSCAR):
```
Th2Ge5Os3
1.0
2.148 -12.576 0.000
2.148 12.576 0.000
0.000 0.000 6.996
Th Ge Os
4 10 6
Cartesian
2.148 12.023 3.498
2.148 4.442 3.561
2.148 -4.442 0.063
2.148 -12.023 0.000
2.148 10.087 0.944
2.148 7.331 2.049
2.148 7.299 4.963
2.148 3.027 0.067
2.148 1.339 2.362
2.148 -1.339 5.860
2.148 -3.027 3.565
2.148 -7.299 1.465
2.148 -7.331 5.546
2.148 -10.087 4.442
2.148 9.825 5.338
2.148 5.581 6.984
2.148 1.333 5.031
2.148 -1.333 1.533
2.148 -5.581 3.486
2.148 -9.825 1.841
```

Calculated values
DFT formation energy, meV per atom: -366
Energy above the lowest structure with this stoichiometry, meV/atom: 118



A relaxed structure of Y2CuRh, computed with PBE.

Structure (POSCAR):
```
Y2CuRh
1.0
4.872 0.000 0.000
0.000 4.872 0.000
0.000 0.000 3.500
Y Cu Rh
2 1 1
Cartesian
0.000 2.436 0.000
2.436 0.000 0.000
0.000 0.000 1.750
2.436 2.436 1.750
```

Calculated values
DFT formation energy, meV per atom: -543



A relaxed structure of YNbRu2N, computed with PBE.

Structure (POSCAR):
```
YNbRu2N
1.0
4.804 0.000 0.000
0.000 4.804 0.000
0.000 0.000 5.364
Y Nb Ru N
1 1 2 1
Cartesian
0.000 0.000 0.000
0.000 0.000 2.682
0.000 2.402 0.000
2.402 0.000 0.000
2.402 2.402 2.682
```

Calculated values
ΔE_f (raw), eV/f.u.: 15.592



A relaxed structure of Sr2HfMnW, computed with PBE.

Structure (POSCAR):
```
Sr2HfMnW
1.0
5.486 0.000 0.000
0.000 5.486 0.000
0.000 0.000 4.737
Sr Hf Mn W
2 1 1 1
Cartesian
0.000 2.743 0.000
2.743 0.000 0.000
0.000 0.000 2.369
0.000 0.000 0.000
2.743 2.743 2.369
```

Calculated values
DFT formation energy, meV per atom: 1607
Energy above the lowest structure with this stoichiometry, meV/atom: 0



A relaxed structure of Cu3Mo, computed with PBE.

Structure (POSCAR):
```
Cu3Mo
1.0
2.530 0.000 0.000
0.000 4.313 0.000
0.000 0.000 4.821
Cu Mo
3 1
Cartesian
0.000 0.000 0.000
0.000 2.156 1.482
1.265 0.000 2.325
1.265 2.156 3.884
```

Calculated values
DFT formation energy, meV per atom: 255



Number 1: D(E_F) 0.73 states/eV per atom, V 189.0 Å³/f.u., total moment 0.00 Bohr magnetons per cell. Number 2: D(E_F) 0.73 states/eV per atom, V 83.1 Å³/f.u., total moment 0.00 Bohr magnetons per cell. Number 3: D(E_F) 1.07 states/eV per atom, V 123.8 Å³/f.u., total moment 2.07 Bohr magnetons per cell. Number 4: D(E_F) 1.22 states/eV per atom, V 142.6 Å³/f.u., total moment 3.87 Bohr magnetons per cell. Number 5: D(E_F) 0.61 states/eV per atom, V 52.6 Å³/f.u., total moment 0.00 Bohr magnetons per cell.